w) # S

S after structural relaxation (PBE, Alexandria via LeMat-Bulk).

The structure in CIF format:
```
data_S
_cell_length_a 6.109
_cell_length_b 3.199
_cell_length_c 5.520
_cell_angle_alpha 90.00
_cell_angle_beta 115.18
_cell_angle_gamma 90.00
_space_group_name_H-M_alt 'P 1'
_space_group_IT_number 1
_space_group_name_Hall 'P 1'
loop_
_atom_site_label
_atom_site_fract_x
_atom_site_fract_y
_atom_site_fract_z
S1 0.670 0.000 0.580
S2 0.670 0.500 0.080
S3 0.330 0.000 0.420
S4 0.330 0.500 0.920
```

- DOS(E_F): 0.27 states/eV per atom

x) # S

S after structural relaxation (PBE, Alexandria via LeMat-Bulk).

The structure in CIF format:
```
data_S
_cell_length_a 14.722
_cell_length_b 14.147
_cell_length_c 9.620
_cell_angle_alpha 73.80
_cell_angle_beta 67.34
_cell_angle_gamma 38.86
_space_group_name_H-M_alt 'P 1'
_space_group_IT_number 1
_space_group_name_Hall 'P 1'
loop_
_atom_site_label
_atom_site_fract_x
_atom_site_fract_y
_atom_site_fract_z
S1 0.953 0.053 0.601
S2 0.868 0.393 0.320
S3 0.921 0.484 0.351
S4 0.778 0.882 0.585
S5 0.472 0.368 0.665
S6 0.665 0.496 0.472
S7 0.393 0.601 0.053
S8 0.245 0.351 0.484
S9 0.882 0.778 0.754
S10 0.197 0.297 0.857
S11 0.766 0.329 0.005
S12 0.649 0.857 0.297
S13 0.351 0.245 0.921
S14 0.601 0.393 0.953
S15 0.053 0.953 0.393
S16 0.320 0.418 0.868
S17 0.496 0.665 0.368
S18 0.754 0.585 0.882
S19 0.484 0.921 0.245
S20 0.393 0.868 0.418
S21 0.857 0.649 0.197
S22 0.585 0.754 0.778
S23 0.930 0.832 0.382
S24 0.329 0.766 0.899
S25 0.297 0.197 0.649
S26 0.368 0.472 0.496
S27 0.857 0.382 0.832
S28 0.418 0.320 0.393
S29 0.382 0.857 0.930
S30 0.899 0.005 0.329
S31 0.005 0.899 0.766
S32 0.832 0.930 0.857
```

- DOS(E_F): 0.00 states/eV per atom

y) # S

S after structural relaxation (PBE, Alexandria via LeMat-Bulk).

The structure in CIF format:
```
data_S
_cell_length_a 8.694
_cell_length_b 8.694
_cell_length_c 9.316
_cell_angle_alpha 77.77
_cell_angle_beta 77.77
_cell_angle_gamma 78.33
_space_group_name_H-M_alt 'P 1'
_space_group_IT_number 1
_space_group_name_Hall 'P 1'
loop_
_atom_site_label
_atom_site_fract_x
_atom_site_fract_y
_atom_site_fract_z
S1 0.525 0.618 0.769
S2 0.983 0.876 0.230
S3 0.005 0.605 0.695
S4 0.618 0.525 0.269
S5 0.605 0.005 0.195
S6 0.754 0.931 0.350
S7 0.069 0.246 0.150
S8 0.236 0.613 0.585
S9 0.995 0.395 0.305
S10 0.124 0.017 0.270
S11 0.876 0.983 0.730
S12 0.764 0.387 0.415
S13 0.387 0.764 0.915
S14 0.395 0.995 0.805
S15 0.931 0.754 0.850
S16 0.475 0.382 0.231
S17 0.246 0.069 0.650
S18 0.017 0.124 0.770
S19 0.613 0.236 0.085
S20 0.382 0.475 0.731
```

- DOS(E_F): 0.00 states/eV per atom

Energy ordering: x) at the bottom, the next structure 30 meV per atom above.

w) # Sc2SbS2

Sc2SbS2 after structural relaxation (PBE, Alexandria via LeMat-Bulk).

The structure in CIF format:
```
data_Sc2SbS2
_cell_length_a 4.258
_cell_length_b 4.258
_cell_length_c 7.093
_cell_angle_alpha 72.53
_cell_angle_beta 72.53
_cell_angle_gamma 90.00
_space_group_name_H-M_alt 'P 1'
_space_group_IT_number 1
_space_group_name_Hall 'P 1'
loop_
_atom_site_label
_atom_site_fract_x
_atom_site_fract_y
_atom_site_fract_z
S1 0.250 0.750 0.500
Sb1 0.000 0.000 0.000
Sc1 0.644 0.644 0.711
S2 0.750 0.250 0.500
Sc2 0.356 0.356 0.289
```

- DOS(E_F): 0.57 states/eV per atom

x) # Sc2SbS2

Sc2SbS2 after structural relaxation (PBE, Alexandria via LeMat-Bulk).

The structure in CIF format:
```
data_Sc2SbS2
_cell_length_a 7.668
_cell_length_b 7.668
_cell_length_c 3.334
_cell_angle_alpha 90.00
_cell_angle_beta 90.00
_cell_angle_gamma 90.00
_space_group_name_H-M_alt 'P 1'
_space_group_IT_number 1
_space_group_name_Hall 'P 1'
loop_
_atom_site_label
_atom_site_fract_x
_atom_site_fract_y
_atom_site_fract_z
Sc1 0.348 0.848 0.000
Sc2 0.152 0.348 0.000
Sb1 0.500 0.500 0.000
Sc3 0.652 0.152 0.000
Sc4 0.848 0.652 0.000
S1 0.865 0.365 0.500
S2 0.635 0.865 0.500
S3 0.135 0.635 0.500
Sb2 0.000 0.000 0.000
S4 0.365 0.135 0.500
```

- DOS(E_F): 0.27 states/eV per atom

Energy ordering: x) at the bottom, the next structure 158 meV per atom above.

w) # ScSb3S

ScSb3S after structural relaxation (PBE, Alexandria via LeMat-Bulk).

The structure in CIF format:
```
data_ScSb3S
_cell_length_a 5.162
_cell_length_b 5.162
_cell_length_c 5.162
_cell_angle_alpha 90.00
_cell_angle_beta 90.00
_cell_angle_gamma 90.00
_space_group_name_H-M_alt 'P 1'
_space_group_IT_number 1
_space_group_name_Hall 'P 1'
loop_
_atom_site_label
_atom_site_fract_x
_atom_site_fract_y
_atom_site_fract_z
Sb1 0.000 0.500 0.000
Sb2 0.500 0.000 0.000
Sb3 0.000 0.000 0.500
Sc1 0.500 0.500 0.500
S1 0.000 0.000 0.000
```

- DOS(E_F): 0.53 states/eV per atom

x) # ScSb3S

ScSb3S after structural relaxation (PBE, Alexandria via LeMat-Bulk).

The structure in CIF format:
```
data_ScSb3S
_cell_length_a 5.420
_cell_length_b 5.420
_cell_length_c 5.420
_cell_angle_alpha 90.00
_cell_angle_beta 90.00
_cell_angle_gamma 90.00
_space_group_name_H-M_alt 'P 1'
_space_group_IT_number 1
_space_group_name_Hall 'P 1'
loop_
_atom_site_label
_atom_site_fract_x
_atom_site_fract_y
_atom_site_fract_z
Sb1 0.000 0.000 0.500
Sb2 0.000 0.500 0.000
Sc1 0.000 0.000 0.000
S1 0.500 0.500 0.500
Sb3 0.500 0.000 0.000
```

- DOS(E_F): 1.22 states/eV per atom

Energy ordering: w) at the bottom, the next structure 273 meV per atom above.

w) # ScSbTe2S

ScSbTe2S after structural relaxation (PBE, Alexandria via LeMat-Bulk).

The structure in CIF format:
```
data_ScSbTe2S
_cell_length_a 5.390
_cell_length_b 5.390
_cell_length_c 5.613
_cell_angle_alpha 90.00
_cell_angle_beta 90.00
_cell_angle_gamma 90.00
_space_group_name_H-M_alt 'P 1'
_space_group_IT_number 1
_space_group_name_Hall 'P 1'
loop_
_atom_site_label
_atom_site_fract_x
_atom_site_fract_y
_atom_site_fract_z
Sb1 0.000 0.000 0.500
S1 0.500 0.500 0.500
Sc1 0.000 0.000 0.000
Te1 0.000 0.500 0.000
Te2 0.500 0.000 0.000
```

- DOS(E_F): 1.33 states/eV per atom

x) # ScSbTe2S

ScSbTe2S after structural relaxation (PBE, Alexandria via LeMat-Bulk).

The structure in CIF format:
```
data_ScSbTe2S
_cell_length_a 5.187
_cell_length_b 5.187
_cell_length_c 5.209
_cell_angle_alpha 90.00
_cell_angle_beta 90.00
_cell_angle_gamma 90.00
_space_group_name_H-M_alt 'P 1'
_space_group_IT_number 1
_space_group_name_Hall 'P 1'
loop_
_atom_site_label
_atom_site_fract_x
_atom_site_fract_y
_atom_site_fract_z
Sb1 0.000 0.000 0.500
S1 0.000 0.000 0.000
Te1 0.000 0.500 0.000
Sc1 0.500 0.500 0.500
Te2 0.500 0.000 0.000
```

- DOS(E_F): 0.48 states/eV per atom

Energy ordering: x) at the bottom, the next structure 150 meV per atom above.